Record 1
# PBE Pu3GeBi, relaxed
data_Pu3GeBi
_chemical_formula_sum 'Pu3 Ge1 Bi1'
_symmetry_space_group_name_H-M 'P 1'
_symmetry_Int_Tables_number 1
_cell_length_a 3.767
_cell_length_b 6.785
_cell_length_c 5.899
_cell_angle_alpha 125.10
_cell_angle_beta 90.00
_cell_angle_gamma 90.00
loop_
_symmetry_equiv_pos_as_xyz
'x,y,z'
loop_
_atom_site_label
_atom_site_fract_x
_atom_site_fract_y
_atom_site_fract_z
_atom_site_occupancy
Pu1 0.500 0.622 0.245 1
Pu2 0.000 0.928 0.368 1
Pu3 0.000 0.440 0.368 1
Ge1 0.000 0.411 0.822 1
Bi1 0.500 0.953 0.906 1
# Offset from the most stable computed form, meV per atom: 281
# Magnetization, μB per formula unit: 5.9
# Volume, A^3/atom: 24.7
# DFT formation energy, eV/atom: 0.07

=====

Record 2
# PBE NaTa2SiO8, relaxed
data_NaTa2SiO8
_chemical_formula_sum 'Na1 Ta2 Si1 O8'
_symmetry_space_group_name_H-M 'P 1'
_symmetry_Int_Tables_number 1
_cell_length_a 4.615
_cell_length_b 4.613
_cell_length_c 6.305
_cell_angle_alpha 90.00
_cell_angle_beta 90.00
_cell_angle_gamma 85.83
loop_
_symmetry_equiv_pos_as_xyz
'x,y,z'
loop_
_atom_site_label
_atom_site_fract_x
_atom_site_fract_y
_atom_site_fract_z
_atom_site_occupancy
O1 0.714 0.714 0.000 1
O2 0.680 0.681 0.500 1
O3 0.198 0.802 0.802 1
Ta1 0.500 0.500 0.744 1
Ta2 0.500 0.500 0.256 1
O4 0.286 0.286 0.000 1
Na1 0.000 0.000 0.500 1
O5 0.320 0.319 0.500 1
O6 0.803 0.198 0.802 1
O7 0.197 0.802 0.198 1
O8 0.802 0.198 0.198 1
Si1 0.000 0.000 0.000 1
# Formation energy (no corrections), meV per atom: -2399
# Magnetization, μB per formula unit: 1.0
# Volume, A^3/atom: 11.2

=====

Record 3
# PBE Zr2Tl2Pd, relaxed
data_Zr2Tl2Pd
_chemical_formula_sum 'Zr4 Tl4 Pd2'
_symmetry_space_group_name_H-M 'P 1'
_symmetry_Int_Tables_number 1
_cell_length_a 8.302
_cell_length_b 8.302
_cell_length_c 3.414
_cell_angle_alpha 90.00
_cell_angle_beta 90.00
_cell_angle_gamma 90.00
loop_
_symmetry_equiv_pos_as_xyz
'x,y,z'
loop_
_atom_site_label
_atom_site_fract_x
_atom_site_fract_y
_atom_site_fract_z
_atom_site_occupancy
Tl1 0.677 0.823 0.500 1
Zr1 0.874 0.626 0.000 1
Zr2 0.626 0.126 0.000 1
Pd1 0.000 0.000 0.000 1
Tl2 0.177 0.677 0.500 1
Tl3 0.323 0.177 0.500 1
Zr3 0.374 0.874 0.000 1
Pd2 0.500 0.500 0.000 1
Zr4 0.126 0.374 0.000 1
Tl4 0.823 0.323 0.500 1
# Offset from the most stable computed form, meV per atom: 294
# Magnetization, μB per formula unit: 0.0
# Volume, A^3/atom: 23.5
# DFT formation energy, eV/atom: 0.24

=====

Record 4
# PBE LaEr4Mg5, relaxed
data_LaEr4Mg5
_chemical_formula_sum 'La1 Er4 Mg5'
_symmetry_space_group_name_H-M 'P 1'
_symmetry_Int_Tables_number 1
_cell_length_a 3.785
_cell_length_b 3.785
_cell_length_c 19.210
_cell_angle_alpha 90.00
_cell_angle_beta 90.00
_cell_angle_gamma 90.00
loop_
_symmetry_equiv_pos_as_xyz
'x,y,z'
loop_
_atom_site_label
_atom_site_fract_x
_atom_site_fract_y
_atom_site_fract_z
_atom_site_occupancy
Mg1 0.500 0.500 0.695 1
La1 0.000 0.000 0.000 1
Er1 0.000 0.000 0.209 1
Mg2 0.500 0.500 0.305 1
Mg3 0.500 0.500 0.500 1
Er2 0.000 0.000 0.597 1
Mg4 0.500 0.500 0.112 1
Er3 0.000 0.000 0.791 1
Er4 0.000 0.000 0.403 1
Mg5 0.500 0.500 0.888 1
# Magnetization, μB per formula unit: 0.0
# Volume, A^3/atom: 27.5
# DFT formation energy, eV/atom: -0.07

=====

Record 5
# PBE LiUPtO6, relaxed
data_LiUPtO6
_chemical_formula_sum 'Li2 U2 Pt2 O12'
_symmetry_space_group_name_H-M 'P 1'
_symmetry_Int_Tables_number 1
_cell_length_a 4.835
_cell_length_b 4.835
_cell_length_c 9.496
_cell_angle_alpha 90.00
_cell_angle_beta 90.00
_cell_angle_gamma 90.00
loop_
_symmetry_equiv_pos_as_xyz
'x,y,z'
loop_
_atom_site_label
_atom_site_fract_x
_atom_site_fract_y
_atom_site_fract_z
_atom_site_occupancy
Pt1 0.000 0.000 0.334 1
O1 0.194 0.806 0.491 1
O2 0.306 0.306 0.991 1
U1 0.500 0.500 0.498 1
O3 0.293 0.293 0.338 1
O4 0.793 0.207 0.838 1
Li1 0.500 0.500 0.166 1
U2 0.000 0.000 0.998 1
O5 0.689 0.689 0.672 1
O6 0.311 0.311 0.672 1
Pt2 0.500 0.500 0.834 1
O7 0.694 0.694 0.991 1
O8 0.806 0.194 0.491 1
O9 0.811 0.189 0.172 1
O10 0.207 0.793 0.838 1
Li2 0.000 0.000 0.666 1
O11 0.707 0.707 0.338 1
O12 0.189 0.811 0.172 1
# Formation energy (no corrections), meV per atom: -1816
# Magnetization, μB per formula unit: 0.8
# Volume, A^3/atom: 12.3

=====

Record 6
# PBE OsBrCl2, relaxed
data_OsBrCl2
_chemical_formula_sum 'Os2 Br2 Cl4'
_symmetry_space_group_name_H-M 'P 1'
_symmetry_Int_Tables_number 1
_cell_length_a 8.250
_cell_length_b 8.250
_cell_length_c 6.423
_cell_angle_alpha 50.04
_cell_angle_beta 50.04
_cell_angle_gamma 90.00
loop_
_symmetry_equiv_pos_as_xyz
'x,y,z'
loop_
_atom_site_label
_atom_site_fract_x
_atom_site_fract_y
_atom_site_fract_z
_atom_site_occupancy
Cl1 0.987 0.625 0.250 1
Cl2 0.763 0.125 0.250 1
Br1 0.500 0.500 0.000 1
Cl3 0.375 0.237 0.750 1
Os1 0.000 0.000 0.000 1
Br2 0.250 0.750 0.500 1
Cl4 0.875 0.013 0.750 1
Os2 0.750 0.250 0.500 1
# Offset from the most stable computed form, meV per atom: 339
# Formation energy (no corrections), meV per atom: 249
# Magnetization, μB per formula unit: 0.0
# Volume, A^3/atom: 22.9

=====

Record 7
# PBE NaMg2GaRu, relaxed
data_NaMg2GaRu
_chemical_formula_sum 'Na1 Mg2 Ga1 Ru1'
_symmetry_space_group_name_H-M 'P 1'
_symmetry_Int_Tables_number 1
_cell_length_a 5.020
_cell_length_b 5.020
_cell_length_c 4.818
_cell_angle_alpha 90.00
_cell_angle_beta 90.00
_cell_angle_gamma 90.00
loop_
_symmetry_equiv_pos_as_xyz
'x,y,z'
loop_
_atom_site_label
_atom_site_fract_x
_atom_site_fract_y
_atom_site_fract_z
_atom_site_occupancy
Ru1 0.000 0.000 0.000 1
Mg1 0.000 0.500 0.000 1
Mg2 0.500 0.000 0.000 1
Ga1 0.000 0.000 0.500 1
Na1 0.500 0.500 0.500 1
# Magnetization, μB per formula unit: 0.0
# Volume, A^3/atom: 24.3
# DFT formation energy, eV/atom: 0.01

=====

Record 8
# PBE La2TlAs2, relaxed
data_La2TlAs2
_chemical_formula_sum 'La4 Tl2 As4'
_symmetry_space_group_name_H-M 'P 1'
_symmetry_Int_Tables_number 1
_cell_length_a 8.323
_cell_length_b 8.323
_cell_length_c 3.993
_cell_angle_alpha 90.00
_cell_angle_beta 90.00
_cell_angle_gamma 90.00
loop_
_symmetry_equiv_pos_as_xyz
'x,y,z'
loop_
_atom_site_label
_atom_site_fract_x
_atom_site_fract_y
_atom_site_fract_z
_atom_site_occupancy
As1 0.150 0.350 0.000 1
La1 0.154 0.654 0.500 1
La2 0.846 0.346 0.500 1
Tl1 0.000 0.000 0.000 1
As2 0.350 0.850 0.000 1
La3 0.346 0.154 0.500 1
As3 0.650 0.150 0.000 1
As4 0.850 0.650 0.000 1
Tl2 0.500 0.500 0.000 1
La4 0.654 0.846 0.500 1
# Offset from the most stable computed form, meV per atom: 0
# Magnetization, μB per formula unit: 0.0
# Volume, A^3/atom: 27.7
# DFT formation energy, eV/atom: -1.08

=====

Record 9
# PBE AsSe2, relaxed
data_AsSe2
_chemical_formula_sum 'As2 Se4'
_symmetry_space_group_name_H-M 'P 1'
_symmetry_Int_Tables_number 1
_cell_length_a 10.810
_cell_length_b 10.810
_cell_length_c 10.810
_cell_angle_alpha 161.19
_cell_angle_beta 161.19
_cell_angle_gamma 26.73
loop_
_symmetry_equiv_pos_as_xyz
'x,y,z'
loop_
_atom_site_label
_atom_site_fract_x
_atom_site_fract_y
_atom_site_fract_z
_atom_site_occupancy
As1 0.750 0.250 0.500 1
Se1 0.429 0.429 0.000 1
As2 0.000 0.000 0.000 1
Se2 0.321 0.821 0.500 1
Se3 0.179 0.679 0.500 1
Se4 0.571 0.571 0.000 1
# Formation energy (no corrections), meV per atom: 342
# Magnetization, μB per formula unit: 0.0
# Volume, A^3/atom: 21.9

=====

Record 10
# PBE DyPu4Pb5, relaxed
data_DyPu4Pb5
_chemical_formula_sum 'Dy1 Pu4 Pb5'
_symmetry_space_group_name_H-M 'P 1'
_symmetry_Int_Tables_number 1
_cell_length_a 3.458
_cell_length_b 3.458
_cell_length_c 23.366
_cell_angle_alpha 90.00
_cell_angle_beta 90.00
_cell_angle_gamma 90.00
loop_
_symmetry_equiv_pos_as_xyz
'x,y,z'
loop_
_atom_site_label
_atom_site_fract_x
_atom_site_fract_y
_atom_site_fract_z
_atom_site_occupancy
Pb1 0.500 0.500 0.500 1
Pb2 0.500 0.500 0.298 1
Pb3 0.500 0.500 0.702 1
Pu1 0.000 0.000 0.600 1
Pu2 0.000 0.000 0.400 1
Pb4 0.500 0.500 0.903 1
Pb5 0.500 0.500 0.097 1
Dy1 0.000 0.000 0.000 1
Pu3 0.000 0.000 0.803 1
Pu4 0.000 0.000 0.197 1
# Magnetization, μB per formula unit: 0.3
# Volume, A^3/atom: 27.9
# DFT formation energy, eV/atom: -0.23

=====

Record 11
# PBE SrCdSn4, relaxed
data_SrCdSn4
_chemical_formula_sum 'Sr1 Cd1 Sn4'
_symmetry_space_group_name_H-M 'P 1'
_symmetry_Int_Tables_number 1
_cell_length_a 6.310
_cell_length_b 6.310
_cell_length_c 6.310
_cell_angle_alpha 60.00
_cell_angle_beta 60.00
_cell_angle_gamma 60.00
loop_
_symmetry_equiv_pos_as_xyz
'x,y,z'
loop_
_atom_site_label
_atom_site_fract_x
_atom_site_fract_y
_atom_site_fract_z
_atom_site_occupancy
Sn1 0.625 0.625 0.625 1
Sn2 0.625 0.625 0.126 1
Sr1 0.000 0.000 0.000 1
Sn3 0.126 0.625 0.625 1
Cd1 0.250 0.250 0.250 1
Sn4 0.625 0.126 0.625 1
# Offset from the most stable computed form, meV per atom: 49
# Magnetization, μB per formula unit: 0.0
# Volume, A^3/atom: 29.6
# DFT formation energy, eV/atom: -0.19

=====

Record 12
# PBE CsCuB2Br8, relaxed
data_CsCuB2Br8
_chemical_formula_sum 'Cs1 Cu1 B2 Br8'
_symmetry_space_group_name_H-M 'P 1'
_symmetry_Int_Tables_number 1
_cell_length_a 6.450
_cell_length_b 6.450
_cell_length_c 10.778
_cell_angle_alpha 72.59
_cell_angle_beta 72.59
_cell_angle_gamma 60.00
loop_
_symmetry_equiv_pos_as_xyz
'x,y,z'
loop_
_atom_site_label
_atom_site_fract_x
_atom_site_fract_y
_atom_site_fract_z
_atom_site_occupancy
Br1 0.735 0.014 0.839 1
Br2 0.808 0.808 0.575 1
B1 0.741 0.741 0.778 1
Br3 0.986 0.588 0.161 1
Br4 0.265 0.986 0.161 1
Br5 0.412 0.735 0.839 1
Cs1 0.500 0.500 0.500 1
Br6 0.014 0.412 0.839 1
Br7 0.588 0.265 0.161 1
Cu1 0.000 0.000 0.000 1
B2 0.259 0.259 0.222 1
Br8 0.192 0.192 0.425 1
# Formation energy (no corrections), meV per atom: -624
# Magnetization, μB per formula unit: 0.1
# Volume, A^3/atom: 30.4

=====

Record 13
# PBE Sm2DySn3Rh4, relaxed
data_Sm2DySn3Rh4
_chemical_formula_sum 'Sm2 Dy1 Sn3 Rh4'
_symmetry_space_group_name_H-M 'P 1'
_symmetry_Int_Tables_number 1
_cell_length_a 4.389
_cell_length_b 4.389
_cell_length_c 11.486
_cell_angle_alpha 90.00
_cell_angle_beta 90.00
_cell_angle_gamma 90.00
loop_
_symmetry_equiv_pos_as_xyz
'x,y,z'
loop_
_atom_site_label
_atom_site_fract_x
_atom_site_fract_y
_atom_site_fract_z
_atom_site_occupancy
Rh1 0.500 0.500 0.000 1
Rh2 0.500 0.000 0.647 1
Rh3 0.000 0.500 0.353 1
Sm1 0.500 0.000 0.230 1
Sm2 0.000 0.500 0.770 1
Sn1 0.000 0.500 0.127 1
Sn2 0.500 0.000 0.873 1
Rh4 0.000 0.000 0.000 1
Dy1 0.500 0.500 0.500 1
Sn3 0.000 0.000 0.500 1
# Magnetization, μB per formula unit: 0.0
# Volume, A^3/atom: 22.1
# DFT formation energy, eV/atom: -0.74

=====

Record 14
# PBE NdNi5Sb, relaxed
data_NdNi5Sb
_chemical_formula_sum 'Nd4 Ni20 Sb4'
_symmetry_space_group_name_H-M 'P 1'
_symmetry_Int_Tables_number 1
_cell_length_a 5.007
_cell_length_b 8.093
_cell_length_c 10.245
_cell_angle_alpha 90.00
_cell_angle_beta 90.00
_cell_angle_gamma 90.00
loop_
_symmetry_equiv_pos_as_xyz
'x,y,z'
loop_
_atom_site_label
_atom_site_fract_x
_atom_site_fract_y
_atom_site_fract_z
_atom_site_occupancy
Sb1 0.250 0.854 0.857 1
Ni1 0.500 0.432 0.192 1
Ni2 0.750 0.566 0.598 1
Ni3 0.250 0.587 0.019 1
Ni4 0.250 0.680 0.252 1
Ni5 0.750 0.820 0.752 1
Ni6 0.500 0.068 0.692 1
Ni7 0.000 0.432 0.192 1
Ni8 0.750 0.066 0.902 1
Ni9 0.500 0.932 0.308 1
Nd1 0.750 0.750 0.057 1
Ni10 0.250 0.934 0.098 1
Ni11 0.000 0.568 0.808 1
Ni12 0.750 0.413 0.981 1
Ni13 0.750 0.320 0.748 1
Nd2 0.750 0.250 0.443 1
Sb2 0.750 0.646 0.357 1
Ni14 0.500 0.568 0.808 1
Ni15 0.750 0.913 0.519 1
Sb3 0.250 0.354 0.643 1
Sb4 0.750 0.146 0.143 1
Ni16 0.250 0.087 0.481 1
Nd3 0.250 0.250 0.943 1
Ni17 0.000 0.068 0.692 1
Ni18 0.250 0.180 0.248 1
Nd4 0.250 0.750 0.557 1
Ni19 0.250 0.434 0.402 1
Ni20 0.000 0.932 0.308 1
# Formation energy (no corrections), meV per atom: -330
# Magnetization, μB per formula unit: 0.0
# Volume, A^3/atom: 14.8

=====

Record 15
# PBE TmZrFeAg, relaxed
data_TmZrFeAg
_chemical_formula_sum 'Tm1 Zr1 Fe1 Ag1'
_symmetry_space_group_name_H-M 'P 1'
_symmetry_Int_Tables_number 1
_cell_length_a 4.791
_cell_length_b 4.791
_cell_length_c 4.791
_cell_angle_alpha 60.00
_cell_angle_beta 60.00
_cell_angle_gamma 60.00
loop_
_symmetry_equiv_pos_as_xyz
'x,y,z'
loop_
_atom_site_label
_atom_site_fract_x
_atom_site_fract_y
_atom_site_fract_z
_atom_site_occupancy
Ag1 0.750 0.750 0.750 1
Zr1 0.000 0.000 0.000 1
Tm1 0.500 0.500 0.500 1
Fe1 0.250 0.250 0.250 1
# Magnetization, μB per formula unit: 0.6
# Volume, A^3/atom: 19.4
# DFT formation energy, eV/atom: -0.02

=====

Record 16
# PBE CePm5In6, relaxed
data_CePm5In6
_chemical_formula_sum 'Ce1 Pm5 In6'
_symmetry_space_group_name_H-M 'P 1'
_symmetry_Int_Tables_number 1
_cell_length_a 5.662
_cell_length_b 7.240
_cell_length_c 9.146
_cell_angle_alpha 66.68
_cell_angle_beta 82.79
_cell_angle_gamma 90.00
loop_
_symmetry_equiv_pos_as_xyz
'x,y,z'
loop_
_atom_site_label
_atom_site_fract_x
_atom_site_fract_y
_atom_site_fract_z
_atom_site_occupancy
Ce1 0.000 0.000 0.000 1
Pm1 0.331 0.835 0.330 1
In1 0.167 0.915 0.666 1
In2 0.500 0.746 0.000 1
In3 0.833 0.580 0.334 1
Pm2 0.334 0.333 0.334 1
In4 0.833 0.085 0.334 1
In5 0.167 0.420 0.666 1
Pm3 0.666 0.667 0.666 1
Pm4 0.000 0.500 0.000 1
In6 0.500 0.254 0.000 1
Pm5 0.669 0.165 0.670 1
# Magnetization, μB per formula unit: 1.1
# Volume, A^3/atom: 28.4
# DFT formation energy, eV/atom: -0.47

=====

Record 17
# PBE MgZr2NiRh, relaxed
data_MgZr2NiRh
_chemical_formula_sum 'Mg1 Zr2 Ni1 Rh1'
_symmetry_space_group_name_H-M 'P 1'
_symmetry_Int_Tables_number 1
_cell_length_a 4.761
_cell_length_b 4.544
_cell_length_c 4.761
_cell_angle_alpha 90.00
_cell_angle_beta 90.00
_cell_angle_gamma 90.00
loop_
_symmetry_equiv_pos_as_xyz
'x,y,z'
loop_
_atom_site_label
_atom_site_fract_x
_atom_site_fract_y
_atom_site_fract_z
_atom_site_occupancy
Mg1 0.000 0.500 0.000 1
Zr1 0.000 0.000 0.500 1
Zr2 0.500 0.000 0.000 1
Ni1 0.000 0.000 0.000 1
Rh1 0.500 0.500 0.500 1
# Magnetization, μB per formula unit: 0.0
# Volume, A^3/atom: 20.6
# DFT formation energy, eV/atom: 0.22

=====

Record 18
# PBE CdPSeN2, relaxed
data_CdPSeN2
_chemical_formula_sum 'Cd1 P1 Se1 N2'
_symmetry_space_group_name_H-M 'P 1'
_symmetry_Int_Tables_number 1
_cell_length_a 3.558
_cell_length_b 3.558
_cell_length_c 6.352
_cell_angle_alpha 90.00
_cell_angle_beta 90.00
_cell_angle_gamma 90.00
loop_
_symmetry_equiv_pos_as_xyz
'x,y,z'
loop_
_atom_site_label
_atom_site_fract_x
_atom_site_fract_y
_atom_site_fract_z
_atom_site_occupancy
P1 0.000 0.000 0.000 1
Se1 0.000 0.000 0.500 1
N1 0.000 0.500 0.000 1
N2 0.500 0.000 0.000 1
Cd1 0.500 0.500 0.500 1
# Offset from the most stable computed form, meV per atom: 0
# Formation energy (no corrections), meV per atom: 805
# Magnetization, μB per formula unit: 0.7
# Volume, A^3/atom: 16.1